YSc2TcO8 | PBE-GGA | optimized geometry Values from VASP.

Cell and atoms, written as Quantum ESPRESSO input:
```
&SYSTEM
  ibrav = 0, nat = 12, ntyp = 4
/
ATOMIC_SPECIES
Y 88.91 Y.upf
Sc 44.96 Sc.upf
Tc 98.00 Tc.upf
O 16.00 O.upf
ATOMIC_POSITIONS crystal
Y 0.0000 0.0000 0.0000
Sc 0.5000 0.5000 0.2429
Sc 0.5000 0.5000 0.7571
Tc 0.0000 0.0000 0.5000
O 0.1920 0.8080 0.2901
O 0.1920 0.8080 0.7099
O 0.2787 0.2787 0.5000
O 0.3162 0.3162 0.0000
O 0.6838 0.6838 0.0000
O 0.7213 0.7213 0.5000
O 0.8080 0.1920 0.2901
O 0.8080 0.1920 0.7099
CELL_PARAMETERS angstrom
3.4450 -3.4472 0.0000
3.4450 3.4472 0.0000
0.0000 0.0000 6.4893
```

Results
- ΔE_f (raw): -2.606 eV per atom
- Total moment: 0.0 μB/f.u.
- Total energy: -8.369 eV per atom

***

NdEr2In2 | PBE-GGA | optimized geometry Values from VASP.

Cell and atoms, written as Quantum ESPRESSO input:
```
&SYSTEM
  ibrav = 0, nat = 10, ntyp = 3
/
ATOMIC_SPECIES
Nd 144.24 Nd.upf
Er 167.26 Er.upf
In 114.82 In.upf
ATOMIC_POSITIONS crystal
Nd 0.1340 0.1340 0.0000
Nd 0.8660 0.8660 0.0000
Er 0.2500 0.7500 0.5000
Er 0.4269 0.4269 0.0000
Er 0.5731 0.5731 0.0000
Er 0.7500 0.2500 0.5000
In 0.0000 0.5000 0.5000
In 0.3245 0.3245 0.0000
In 0.5000 0.0000 0.5000
In 0.6755 0.6755 0.0000
CELL_PARAMETERS angstrom
-2.3124 2.3124 14.3681
2.3124 -2.3124 14.3681
2.3124 2.3124 -14.3681
```

Results
- Total moment: 0.0 μB/f.u.
- Total energy: -4.035 eV per atom
- E_form: -0.1607 eV per atom
- DOS at the Fermi energy: 1.11 states/eV per atom
- Distance to the lowest polymorph of the same formula: 205.5 meV/atom

***

IO2 | PBE-GGA | optimized geometry Values from VASP.

Cell and atoms, written as Quantum ESPRESSO input:
```
&SYSTEM
  ibrav = 0, nat = 6, ntyp = 2
/
ATOMIC_SPECIES
I 126.90 I.upf
O 16.00 O.upf
ATOMIC_POSITIONS crystal
I 0.0539 0.0539 0.2632
I 0.9461 0.9461 0.7368
O 0.3257 0.3257 0.7243
O 0.4205 0.4205 0.1855
O 0.5795 0.5795 0.8145
O 0.6743 0.6743 0.2757
CELL_PARAMETERS angstrom
5.8690 -1.5793 0.0000
5.8690 1.5793 0.0000
-3.7111 0.0000 5.8832
```

Results
- ΔE_f (raw): 0.159 eV per atom
- Total moment: 0.0 μB/f.u.
- Total energy: -3.663 eV per atom
- DOS at the Fermi energy: 0.04 states/eV per atom
- Distance to the lowest polymorph of the same formula: 374.8 meV/atom

***

BaPaBeS4 | PBE-GGA | optimized geometry Values from VASP.

Cell and atoms, written as Quantum ESPRESSO input:
```
&SYSTEM
  ibrav = 0, nat = 14, ntyp = 4
/
ATOMIC_SPECIES
Ba 137.33 Ba.upf
Pa 231.04 Pa.upf
Be 9.01 Be.upf
S 32.06 S.upf
ATOMIC_POSITIONS crystal
Ba 0.2344 0.2500 0.4327
Ba 0.7655 0.7500 0.5673
Pa 0.2764 0.2500 0.9481
Pa 0.7236 0.7500 0.0519
Be 0.2808 0.7500 0.1802
Be 0.7192 0.2500 0.8198
S 0.0805 0.7500 0.9313
S 0.0868 0.7500 0.3415
S 0.4920 0.5025 0.7782
S 0.4920 0.9975 0.7782
S 0.5080 0.0025 0.2218
S 0.5080 0.4975 0.2218
S 0.9132 0.2500 0.6585
S 0.9195 0.2500 0.0687
CELL_PARAMETERS angstrom
6.1889 0.0000 0.0000
0.0000 6.4306 0.0000
-2.7494 0.0000 8.0965
```

Results
- ΔE_f (raw): -1.587 eV per atom
- Total moment: 1.0 μB/f.u.
- Total energy: -6.110 eV per atom
- DOS at the Fermi energy: 0.46 states/eV per atom

***

Er2AgIr | PBE-GGA | optimized geometry Values from VASP.

Cell and atoms, written as Quantum ESPRESSO input:
```
&SYSTEM
  ibrav = 0, nat = 8, ntyp = 3
/
ATOMIC_SPECIES
Er 167.26 Er.upf
Ag 107.87 Ag.upf
Ir 192.22 Ir.upf
ATOMIC_POSITIONS crystal
Er 0.2500 0.0000 0.1120
Er 0.2500 0.0000 0.6464
Er 0.7500 0.0000 0.3536
Er 0.7500 0.0000 0.8880
Ag 0.2500 0.5000 0.3769
Ag 0.7500 0.5000 0.6231
Ir 0.2500 0.5000 0.8749
Ir 0.7500 0.5000 0.1251
CELL_PARAMETERS angstrom
4.9787 0.0000 0.0000
0.0000 3.5202 0.0000
0.0000 0.0000 9.8088
```

Results
- Total moment: 0.0 μB/f.u.
- Total energy: -5.858 eV per atom
- E_form: -0.6488 eV per atom
- DOS at the Fermi energy: 0.38 states/eV per atom
- Distance to the lowest polymorph of the same formula: 0.0 meV/atom

***

Mg2Ag | PBE-GGA | optimized geometry Values from VASP.

Cell and atoms, written as Quantum ESPRESSO input:
```
&SYSTEM
  ibrav = 0, nat = 3, ntyp = 2
/
ATOMIC_SPECIES
Mg 24.30 Mg.upf
Ag 107.87 Ag.upf
ATOMIC_POSITIONS crystal
Mg 0.3333 0.6667 0.1820
Mg 0.6667 0.3333 0.8180
Ag 0.0000 0.0000 0.5000
CELL_PARAMETERS angstrom
3.1370 0.0000 0.0000
-1.5685 2.7167 0.0000
0.0000 0.0000 7.1603
```

Results
- Total moment: 0.0 μB/f.u.
- Total energy: -2.079 eV per atom
- E_form: -0.0659 eV per atom
- DOS at the Fermi energy: 0.47 states/eV per atom

***

KAgIF | PBE-GGA | optimized geometry Values from VASP.

Cell and atoms, written as Quantum ESPRESSO input:
```
&SYSTEM
  ibrav = 0, nat = 4, ntyp = 4
/
ATOMIC_SPECIES
K 39.10 K.upf
Ag 107.87 Ag.upf
I 126.90 I.upf
F 19.00 F.upf
ATOMIC_POSITIONS crystal
K 0.0000 0.0000 0.0000
Ag 0.3333 0.6667 0.4197
I 0.6667 0.3333 0.5713
F 0.3333 0.6667 0.0757
CELL_PARAMETERS angstrom
4.5505 0.0000 0.0000
-2.2753 3.9409 0.0000
0.0000 0.0000 6.7542
```

Results
- ΔE_f (raw): -1.420 eV per atom
- Total moment: 0.0 μB/f.u.
- Total energy: -3.263 eV per atom
- DOS at the Fermi energy: 0.00 states/eV per atom

***

LiOsS2 | PBE-GGA | optimized geometry Values from VASP.

Cell and atoms, written as Quantum ESPRESSO input:
```
&SYSTEM
  ibrav = 0, nat = 4, ntyp = 3
/
ATOMIC_SPECIES
Li 6.94 Li.upf
Os 190.23 Os.upf
S 32.06 S.upf
ATOMIC_POSITIONS crystal
Li 0.0000 0.0000 0.0000
Os 0.5000 0.5000 0.5000
S 0.1111 0.1111 0.1111
S 0.8889 0.8889 0.8889
CELL_PARAMETERS angstrom
1.8344 1.0591 6.8633
-1.8344 1.0591 6.8633
0.0000 -2.1182 6.8633
```

Results
- ΔE_f (raw): -0.280 eV per atom
- Total moment: 0.9 μB/f.u.
- Total energy: -5.629 eV per atom
- DOS at the Fermi energy: 0.73 states/eV per atom